(1)
Density functional theory data (PBE) for an optimized crystal structure of Ta4ZnOs5.

Cell lengths 3.1440, 3.1440, 15.9984 Å; angles 90.00, 90.00, 90.00 degrees
Fractional coordinates of all 10 atoms:
Os (0.5000, 0.5000, 0.2908)
Ta (0.0000, 0.0000, 0.6042)
Ta (0.0000, 0.0000, 0.1866)
Os (0.5000, 0.5000, 0.9051)
Os (0.5000, 0.5000, 0.7092)
Ta (0.0000, 0.0000, 0.3958)
Zn (0.0000, 0.0000, 0.0000)
Ta (0.0000, 0.0000, 0.8134)
Os (0.5000, 0.5000, 0.0949)
Os (0.5000, 0.5000, 0.5000)

Output
- Energy of formation from the pure elements: -0.24 eV/atom
- SG: P4/mmm (123)
- E_tot: -107.2 eV per cell
- V: 15.814 A^3/atom



(2)
Density functional theory data (PBE) for an optimized crystal structure of TaZnOs2.

Cell lengths 5.1349, 5.1349, 4.5237 Å; angles 67.59, 67.59, 33.84 degrees
Fractional coordinates of all 4 atoms:
Os (0.0040, 0.0040, 0.0585)
Os (0.7410, 0.7410, 0.6955)
Ta (0.4967, 0.4967, 0.5609)
Zn (0.2583, 0.2583, 0.1850)

Output
- Energy of formation from the pure elements: 0.02 eV/atom
- SG: Cm (8)
- E_tot: -35.5 eV per cell
- V: 15.230 A^3/atom



(3)
Density functional theory data (PBE) for an optimized crystal structure of Ta6ZnOs5.

Cell lengths 4.6079, 6.1603, 7.0943 Å; angles 90.00, 103.59, 90.00 degrees
Fractional coordinates of all 12 atoms:
Ta (0.8594, 0.2500, 0.6534)
Ta (0.1406, 0.7500, 0.3466)
Os (0.3842, 0.0000, 0.6887)
Ta (0.5000, 0.2500, 0.0000)
Ta (0.5000, 0.7500, 0.0000)
Os (0.6158, 0.0000, 0.3113)
Ta (0.1406, 0.2501, 0.3466)
Os (0.6242, 0.5000, 0.3187)
Os (0.3758, 0.5000, 0.6813)
Os (0.0000, 0.5000, 0.0000)
Zn (0.0000, 0.0000, 0.0000)
Ta (0.8594, 0.7499, 0.6534)

Output
- Energy of formation from the pure elements: -0.22 eV/atom
- SG: P2/m (10)
- E_tot: -131.2 eV per cell
- V: 16.312 A^3/atom



(4)
Density functional theory data (PBE) for an optimized crystal structure of Ta5ZnOs6.

Cell lengths 4.4121, 6.5512, 7.6804 Å; angles 115.24, 106.65, 90.00 degrees
Fractional coordinates of all 12 atoms:
Os (0.1684, 0.9245, 0.3371)
Ta (0.6662, 0.1663, 0.3326)
Ta (0.3338, 0.8337, 0.6674)
Os (0.8316, 0.5875, 0.6629)
Ta (0.0000, 0.5000, 0.0000)
Ta (0.3402, 0.3403, 0.6806)
Os (0.5000, 0.7595, 0.0000)
Os (0.1684, 0.4125, 0.3371)
Zn (0.0000, 0.0000, 0.0000)
Os (0.8316, 0.0755, 0.6629)
Ta (0.6598, 0.6597, 0.3194)
Os (0.5000, 0.2405, 0.0000)

Output
- Energy of formation from the pure elements: -0.26 eV/atom
- SG: Immm (71)
- E_tot: -131.0 eV per cell
- V: 15.871 A^3/atom



(5)
Density functional theory data (PBE) for an optimized crystal structure of TaZn2Os.

Cell lengths 9.1254, 9.1254, 9.1254 Å; angles 17.95, 17.95, 17.95 degrees
Fractional coordinates of all 4 atoms:
Os (0.5009, 0.5009, 0.5009)
Zn (0.9982, 0.9982, 0.9982)
Zn (0.2478, 0.2478, 0.2478)
Ta (0.7531, 0.7531, 0.7531)

Output
- Energy of formation from the pure elements: 0.10 eV/atom
- SG: R3m (160)
- E_tot: -25.2 eV per cell
- V: 15.751 A^3/atom
- Polymorph energy (0 for the lowest one): 122 meV/atom



(6)
Density functional theory data (PBE) for an optimized crystal structure of TaZnOs2.

Cell lengths 3.2971, 3.2971, 5.6855 Å; angles 90.00, 90.00, 90.00 degrees
Fractional coordinates of all 4 atoms:
Ta (0.0000, 0.0000, 0.4982)
Os (0.0000, 0.0000, 0.9625)
Zn (0.5000, 0.5000, 0.7664)
Os (0.5000, 0.5000, 0.2729)

Output
- Energy of formation from the pure elements: 0.23 eV/atom
- SG: P4mm (99)
- E_tot: -34.7 eV per cell
- V: 15.451 A^3/atom



(7)
Density functional theory data (PBE) for an optimized crystal structure of TaZn3Os.

Cell lengths 4.6303, 4.6303, 4.6303 Å; angles 90.00, 90.00, 90.00 degrees
Fractional coordinates of all 5 atoms:
Zn (0.5000, 0.0000, 0.0000)
Ta (0.5000, 0.5000, 0.5000)
Os (0.0000, 0.0000, 0.0000)
Zn (0.0000, 0.5000, 0.0000)
Zn (0.0000, 0.0000, 0.5000)

Output
- Energy of formation from the pure elements: 1.31 eV/atom
- SG: Pm-3m (221)
- E_tot: -20.4 eV per cell
- V: 19.854 A^3/atom
- Polymorph energy (0 for the lowest one): 0 meV/atom



(8)
Density functional theory data (PBE) for an optimized crystal structure of TaZnOs2.

Cell lengths 3.1184, 4.6383, 4.2248 Å; angles 90.00, 90.00, 90.00 degrees
Fractional coordinates of all 4 atoms:
Os (0.5000, 0.5000, 0.0000)
Os (0.0000, 0.0000, 0.0000)
Zn (0.0000, 0.5000, 0.5000)
Ta (0.5000, 0.0000, 0.5000)

Output
- Energy of formation from the pure elements: 0.24 eV/atom
- SG: Pmmm (47)
- E_tot: -34.6 eV per cell
- V: 15.277 A^3/atom